VASP calculation (GGA+U) on an optimized crystal structure of ZrZnCr2O6.

a = 5.248 Å, b = 5.248 Å, c = 5.542 Å
α = 61.74°, β = 61.73°, γ = 60.00°
Fractional coordinates of all 10 atoms:
1 Zr 0.805 0.805 0.586
2 Zn 0.298 0.298 0.106
3 Cr 0.516 0.516 0.452
4 Cr 0.015 0.015 0.954
5 O 0.635 0.228 0.240
6 O 0.228 0.897 0.240
7 O 0.897 0.635 0.240
8 O 0.397 0.738 0.732
9 O 0.738 0.133 0.732
10 O 0.133 0.397 0.732

energy	-7.658	eV per atom
V	110.7	Å³ per cell